[1]
The following is a PBE calculation of a relaxed LiDy5S8 crystal, from Alexandria via LeMat-Bulk.

Output
The calculation puts the raw formation energy at -27.8 eV per formula unit.

Cell lengths 7.184, 7.184, 7.184 Å; angles 109.71, 109.71, 109.00 degrees
Positions (direct):
Li1 0.000 0.000 0.000
Dy1 0.118 0.240 0.616
Dy2 0.250 0.750 0.500
Dy3 0.498 0.882 0.123
Dy4 0.625 0.502 0.384
Dy5 0.760 0.375 0.877
S1 0.019 0.631 0.753
S2 0.242 0.498 0.111
S3 0.369 0.121 0.388
S4 0.386 0.131 0.889
S5 0.502 0.614 0.744
S6 0.733 0.981 0.612
S7 0.869 0.758 0.256
S8 0.879 0.267 0.247

=====

[2]
The following is a PBE calculation of a relaxed Ag2SnAu2 crystal, from Alexandria via LeMat-Bulk.

Output
The energy of formation comes out at 0.20 eV/f.u.

Cell lengths 7.468, 7.468, 7.468 Å; angles 149.59, 149.59, 43.54 degrees
Positions (direct):
Ag1 0.250 0.750 0.500
Ag2 0.750 0.250 0.500
Sn1 0.000 0.000 0.000
Au1 0.400 0.400 0.000
Au2 0.600 0.600 0.000

=====

[3]
The following is a PBE calculation of a relaxed ReAu crystal, from Alexandria via LeMat-Bulk.

Output
The energy of formation comes out at 3.21 eV/f.u.

Cell lengths 6.961, 6.961, 6.961 Å; angles 109.47, 109.47, 109.47 degrees
Positions (direct):
Re1 0.000 0.000 0.780
Re2 0.000 0.780 0.000
Re3 0.220 0.220 0.220
Re4 0.780 0.000 0.000
Au1 0.000 0.000 0.411
Au2 0.000 0.411 0.000
Au3 0.411 0.000 0.000
Au4 0.589 0.589 0.589

=====

[4]
The following is a PBE calculation of a relaxed MgTe2Os crystal, from Alexandria via LeMat-Bulk.

Output
The calculation puts the raw formation energy at 0.5 eV per formula unit.

Cell lengths 6.094, 6.094, 3.999 Å; angles 90.00, 90.00, 129.87 degrees
Positions (direct):
Mg1 0.000 0.000 0.000
Te1 0.347 0.653 0.500
Te2 0.653 0.347 0.500
Os1 0.500 0.500 0.000

=====

| no. | electronic total energy (eV/atom) | density of states at the Fermi level (states/eV per cell) |
| --- | --- | --- |
| 1 | -6.12 | 0.00 |
| 2 | -3.21 | 2.05 |
| 3 | -6.26 | 12.30 |
| 4 | -4.66 | 3.53 |